An optimized crystal structure of La2CdCoSn. Source: Alexandria, functional PBE.

- Formation energy from the elements: -0.369 eV/atom
- Offset from the most stable computed form: 0.03 eV per formula unit

Cell lengths 5.191, 5.191, 5.056 Å; angles 90.00, 90.00, 90.00 degrees
Atoms (fractional coordinates):
1 La 0.000 0.500 0.000
2 La 0.500 0.000 0.000
3 Cd 0.000 0.000 0.500
4 Co 0.000 0.000 0.000
5 Sn 0.500 0.500 0.500

An optimized crystal structure of Sc3PdPb. Source: Alexandria, functional PBE.

- Formation energy from the elements: 0.624 eV/atom
- Offset from the most stable computed form: 4.35 eV per formula unit

Cell lengths 5.346, 5.346, 5.346 Å; angles 90.00, 90.00, 90.00 degrees
Atoms (fractional coordinates):
1 Sc 0.000 0.000 0.500
2 Sc 0.000 0.500 0.000
3 Sc 0.500 0.000 0.000
4 Pd 0.500 0.500 0.500
5 Pb 0.000 0.000 0.000

An optimized crystal structure of Ni2Te3Pd. Source: Alexandria, functional PBE.

- Offset from the most stable computed form: 0.76 eV per formula unit
- Raw formation energy: -0.0926 eV/atom

Cell lengths 7.753, 7.753, 4.791 Å; angles 90.00, 90.00, 120.00 degrees
Atoms (fractional coordinates):
1 Ni 0.000 0.000 0.000
2 Ni 0.000 0.500 0.000
3 Ni 0.500 0.000 0.000
4 Ni 0.500 0.500 0.000
5 Te 0.179 0.359 0.745
6 Te 0.179 0.821 0.745
7 Te 0.359 0.179 0.255
8 Te 0.641 0.821 0.745
9 Te 0.821 0.179 0.255
10 Te 0.821 0.641 0.255
11 Pd 0.333 0.667 0.325
12 Pd 0.667 0.333 0.675

An optimized crystal structure of ScMn2Mo. Source: Alexandria, functional PBE.

- Formation energy from the elements: 0.194 eV/atom

Cell lengths 2.760, 4.279, 5.051 Å; angles 90.00, 100.53, 90.00 degrees
Atoms (fractional coordinates):
1 Sc 0.000 0.000 0.000
2 Mn 0.487 0.000 0.491
3 Mn 0.709 0.500 0.234
4 Mo 0.264 0.500 0.713

An optimized crystal structure of Li7Cd2Rh. Source: Alexandria, functional PBE.

- Formation energy from the elements: -0.076 eV/atom
- Offset from the most stable computed form: 0.00 eV per formula unit

Cell lengths 4.473, 4.473, 10.022 Å; angles 90.00, 90.00, 120.00 degrees
Atoms (fractional coordinates):
1 Li 0.000 0.000 0.000
2 Li 0.000 0.000 0.220
3 Li 0.000 0.000 0.464
4 Li 0.333 0.667 0.012
5 Li 0.333 0.667 0.611
6 Li 0.667 0.333 0.408
7 Li 0.667 0.333 0.859
8 Cd 0.000 0.000 0.734
9 Cd 0.333 0.667 0.286
10 Rh 0.667 0.333 0.141

An optimized crystal structure of Sn6IrPt. Source: Alexandria, functional PBE.

- Formation energy from the elements: -0.174 eV/atom
- Offset from the most stable computed form: 0.00 eV per formula unit

Cell lengths 8.196, 8.196, 9.515 Å; angles 124.67, 124.67, 71.03 degrees
Atoms (fractional coordinates):
1 Sn 0.155 0.838 0.833
2 Sn 0.162 0.845 0.167
3 Sn 0.178 0.507 0.343
4 Sn 0.329 0.329 0.668
5 Sn 0.344 0.344 0.999
6 Sn 0.493 0.822 0.657
7 Sn 0.507 0.178 0.343
8 Sn 0.656 0.656 0.001
9 Sn 0.671 0.671 0.332
10 Sn 0.822 0.493 0.657
11 Sn 0.838 0.155 0.833
12 Sn 0.845 0.162 0.167
13 Ir 0.000 0.500 0.500
14 Ir 0.500 0.000 0.500
15 Pt 0.000 0.500 0.000
16 Pt 0.500 0.000 0.000